Record 1
A geometry-optimized CaFeMoO6 structure. Source: Alexandria, functional PBE with a Hubbard U.

CIF file:
```
data_CaFeMoO6
_cell_length_a 5.374
_cell_length_b 5.645
_cell_length_c 9.386
_cell_angle_alpha 90.00
_cell_angle_beta 124.82
_cell_angle_gamma 90.00
_symmetry_space_group_name_H-M 'P 1 c 1'
_symmetry_Int_Tables_number 7
_symmetry_space_group_name_Hall 'P -2yc'
loop_
_atom_site_label
_atom_site_type_symbol
_atom_site_fract_x
_atom_site_fract_y
_atom_site_fract_z
Ca1 Ca 0.000 0.178 0.000
Fe1 Fe 0.756 0.253 0.248
Mo1 Mo 0.263 0.283 0.749
O1 O 0.021 0.456 0.206
O2 O 0.060 0.237 0.504
O3 O 0.426 0.265 0.992
O4 O 0.495 0.020 0.269
O5 O 0.597 0.448 0.790
O6 O 0.964 0.032 0.729
```

Results
magnetization	0.669	μB per atom
calculated total energy	-59.779	eV/f.u.
Fermi-level density of states	4.1	states/eV/cell

***

Record 2
A geometry-optimized CaFeMo2O6 structure. Source: Alexandria, functional PBE with a Hubbard U.

CIF file:
```
data_CaFeMo2O6
_cell_length_a 5.353
_cell_length_b 5.568
_cell_length_c 8.610
_cell_angle_alpha 90.00
_cell_angle_beta 90.00
_cell_angle_gamma 90.00
_symmetry_space_group_name_H-M 'P n n m'
_symmetry_Int_Tables_number 58
_symmetry_space_group_name_Hall '-P 2 2n'
loop_
_atom_site_label
_atom_site_type_symbol
_atom_site_fract_x
_atom_site_fract_y
_atom_site_fract_z
Ca1 Ca 0.000 0.000 0.000
Fe1 Fe 0.000 0.000 0.500
Mo1 Mo 0.000 0.500 0.201
O1 O 0.173 0.353 0.000
O2 O 0.207 0.270 0.326
```

Results
magnetization	0.800	μB per atom
calculated total energy	-70.073	eV/f.u.